Entry 1:
## CoCuP2 (PBE)

Data for a relaxed structure of CoCuP2.

a b c (Å): 2.698 3.651 5.054
angles (deg): 90.00 90.00 90.00
Atoms (fractional coordinates):
Co1 0.000 0.000 0.000
Cu1 0.500 0.500 0.338
P1 0.000 0.000 0.486
P2 0.500 0.500 0.872

Values from the calculation:
Space-group type   Pmm2, No. 25
Energy of formation from the pure elements   0.0594 eV/atom
Crystal system   orthorhombic

Entry 2:
## Pm2ErPt3 (PBE)

Data for a relaxed structure of Pm2ErPt3.

a b c (Å): 7.127 7.127 7.127
angles (deg): 146.19 131.72 60.24
Atoms (fractional coordinates):
Pm1 0.168 0.168 0.000
Pm2 0.832 0.832 0.000
Er1 0.500 0.500 0.000
Pt1 0.000 0.500 0.500
Pt2 0.340 0.840 0.500
Pt3 0.660 0.160 0.500

Values from the calculation:
Space-group type   Immm, No. 71
Energy of formation from the pure elements   -1.0888 eV/atom
Crystal system   orthorhombic

Entry 3:
## Fe2AgW (PBE)

Data for a relaxed structure of Fe2AgW.

a b c (Å): 4.331 4.331 4.331
angles (deg): 60.00 60.00 60.00
Atoms (fractional coordinates):
Fe1 0.000 0.000 0.000
Fe2 0.250 0.250 0.250
Ag1 0.500 0.500 0.500
W1 0.750 0.750 0.750

Values from the calculation:
Space-group type   F-43m, No. 216
Energy of formation from the pure elements   0.6258 eV/atom
Crystal system   cubic

Entry 4:
## YIn (PBE)

Data for a relaxed structure of YIn.

a b c (Å): 3.557 3.557 10.505
angles (deg): 90.00 90.00 120.00
Atoms (fractional coordinates):
Y1 0.333 0.667 0.138
Y2 0.667 0.333 0.862
In1 0.333 0.667 0.614
In2 0.667 0.333 0.386

Values from the calculation:
Space-group type   P-3m1, No. 164
Energy of formation from the pure elements   -0.1705 eV/atom
Crystal system   trigonal

Entry 5:
## Pu2TlCu (PBE)

Data for a relaxed structure of Pu2TlCu.

a b c (Å): 5.205 5.205 5.205
angles (deg): 60.00 60.00 60.00
Atoms (fractional coordinates):
Pu1 0.250 0.250 0.250
Pu2 0.750 0.750 0.750
Tl1 0.000 0.000 0.000
Cu1 0.500 0.500 0.500

Values from the calculation:
Space-group type   Fm-3m, No. 225
Energy of formation from the pure elements   0.1752 eV/atom
Crystal system   cubic

Entry 6:
## ScRePt2 (PBE)

Data for a relaxed structure of ScRePt2.

a b c (Å): 4.833 4.833 2.805
angles (deg): 90.00 90.00 90.00
Atoms (fractional coordinates):
Sc1 0.000 0.000 0.000
Re1 0.500 0.500 0.000
Pt1 0.000 0.500 0.500
Pt2 0.500 0.000 0.500

Values from the calculation:
Space-group type   P4/mmm, No. 123
Energy of formation from the pure elements   -0.4282 eV/atom
Crystal system   tetragonal

Entry 7:
## BaRhPb2Au (PBE)

Data for a relaxed structure of BaRhPb2Au.

a b c (Å): 5.238 5.238 5.442
angles (deg): 90.00 90.00 90.00
Atoms (fractional coordinates):
Ba1 0.000 0.000 0.000
Rh1 0.500 0.500 0.500
Pb1 0.000 0.500 0.500
Pb2 0.500 0.000 0.500
Au1 0.500 0.500 0.000

Values from the calculation:
Space-group type   P4/mmm, No. 123
Energy of formation from the pure elements   -0.2100 eV/atom
Crystal system   tetragonal

Entry 8:
## BaHgPb2 (PBE)

Data for a relaxed structure of BaHgPb2.

a b c (Å): 11.633 11.633 11.633
angles (deg): 153.90 124.24 62.57
Atoms (fractional coordinates):
Ba1 0.215 0.215 0.000
Ba2 0.219 0.000 0.219
Ba3 0.781 0.000 0.781
Ba4 0.785 0.785 0.000
Hg1 0.040 0.328 0.712
Hg2 0.384 0.672 0.712
Hg3 0.616 0.328 0.288
Hg4 0.960 0.672 0.288
Pb1 0.077 0.577 0.500
Pb2 0.189 0.831 0.358
Pb3 0.418 0.418 0.000
Pb4 0.472 0.831 0.642
Pb5 0.528 0.169 0.358
Pb6 0.582 0.582 0.000
Pb7 0.811 0.169 0.642
Pb8 0.923 0.423 0.500

Values from the calculation:
Space-group type   Immm, No. 71
Energy of formation from the pure elements   -0.3362 eV/atom
Crystal system   orthorhombic

Entry 9:
## NbAlAu (PBE)

Data for a relaxed structure of NbAlAu.

a b c (Å): 3.877 3.877 7.134
angles (deg): 90.00 90.00 90.00
Atoms (fractional coordinates):
Nb1 0.250 0.750 0.000
Nb2 0.750 0.250 0.000
Al1 0.250 0.250 0.322
Al2 0.750 0.750 0.678
Au1 0.250 0.250 0.689
Au2 0.750 0.750 0.311

Values from the calculation:
Space-group type   P4/nmm, No. 129
Energy of formation from the pure elements   -0.2155 eV/atom
Crystal system   tetragonal

Entry 10:
## NbTe3Pd (PBE)

Data for a relaxed structure of NbTe3Pd.

a b c (Å): 3.667 12.738 12.738
angles (deg): 149.48 90.00 90.00
Atoms (fractional coordinates):
Nb1 0.250 0.170 0.830
Nb2 0.750 0.830 0.170
Te1 0.250 0.260 0.119
Te2 0.250 0.600 0.854
Te3 0.250 0.959 0.436
Te4 0.750 0.119 0.260
Te5 0.750 0.436 0.959
Te6 0.750 0.854 0.600
Pd1 0.250 0.190 0.464
Pd2 0.750 0.464 0.190

Values from the calculation:
E_form (uncorrected)   -1.66 eV/f.u.
Space-group type   Ama2, No. 40
Crystal system   orthorhombic

Entry 11:
## RbNpS2 (PBE)

Data for a relaxed structure of RbNpS2.

a b c (Å): 8.139 8.139 8.139
angles (deg): 29.16 29.16 29.16
Atoms (fractional coordinates):
Rb1 0.000 0.000 0.000
Np1 0.170 0.170 0.170
S1 0.566 0.566 0.566
S2 0.773 0.773 0.773

Values from the calculation:
E_form (uncorrected)   -5.39 eV/f.u.
Space-group type   R3m, No. 160
Crystal system   trigonal

Entry 12:
## Ac2TlCu3Sn4 (PBE)

Data for a relaxed structure of Ac2TlCu3Sn4.

a b c (Å): 4.737 4.737 11.082
angles (deg): 90.00 90.00 90.00
Atoms (fractional coordinates):
Ac1 0.000 0.500 0.242
Ac2 0.500 0.000 0.758
Tl1 0.000 0.000 0.500
Cu1 0.000 0.500 0.882
Cu2 0.500 0.000 0.118
Cu3 0.500 0.500 0.500
Sn1 0.000 0.000 0.000
Sn2 0.000 0.500 0.650
Sn3 0.500 0.000 0.350
Sn4 0.500 0.500 0.000

Values from the calculation:
Space-group type   P-4m2, No. 115
Energy of formation from the pure elements   -0.3443 eV/atom
Crystal system   tetragonal

What did we get for calculated volume? Answer: 49.8, 149.0, 57.4, 115.1, 99.7, 65.5, 149.3, 568.1, 107.2, 302.2, 113.2, 248.6 Å³ per cell, in the order shown.